The following is a PBE calculation of a relaxed structure of Fe3Ni, from Alexandria.

## Properties
Formation energy from the elements (meV/atom): 49.8
Space-group type: Pm-3m, No. 221
Calculated total energy (Ry per atom): -0.5691

Cell lengths 3.5881, 3.5881, 3.5881 Å; angles 90.00, 90.00, 90.00 degrees
Atoms (fractional coordinates):
Fe1 0.5000 0.0000 0.5000
Fe2 0.0000 0.0000 0.0000
Fe3 0.0000 0.5000 0.5000
Ni1 0.5000 0.5000 0.0000

The following is a PBE calculation of a relaxed structure of Fe3Ni, from Alexandria.

## Properties
Formation energy from the elements (meV/atom): 96.1
Space-group type: R-3m, No. 166
Calculated total energy (Ry per atom): -0.5657

Cell lengths 8.3811, 8.3811, 8.3811 Å; angles 17.10, 17.10, 17.10 degrees
Atoms (fractional coordinates):
Fe1 0.2501 0.2501 0.2501
Fe2 0.7499 0.7499 0.7499
Fe3 0.5000 0.5000 0.5000
Ni1 0.0000 0.0000 0.0000

The following is a PBE calculation of a relaxed structure of Fe2Ni, from Alexandria.

## Properties
Formation energy from the elements (meV/atom): 484.3
Space-group type: P4/mmm, No. 123
Calculated total energy (Ry per atom): -0.5207

Cell lengths 4.0210, 4.0210, 2.5954 Å; angles 90.00, 90.00, 90.00 degrees
Atoms (fractional coordinates):
Ni1 0.0000 0.0000 0.0000
Fe1 0.5000 0.0000 0.5000
Fe2 0.0000 0.5000 0.5000

The following is a PBE calculation of a relaxed structure of Fe2Ni, from Alexandria.

## Properties
Formation energy from the elements (meV/atom): 78.8
Space-group type: P-62m, No. 189
Calculated total energy (Ry per atom): -0.5505

Cell lengths 6.9887, 6.9887, 2.4615 Å; angles 90.00, 90.00, 120.00 degrees
Atoms (fractional coordinates):
Fe1 0.3603 0.3603 0.5000
Fe2 0.3071 0.0000 0.0000
Fe3 0.0000 0.3071 0.0000
Fe4 0.6397 0.0000 0.5000
Fe5 0.6929 0.6929 0.0000
Fe6 0.0000 0.6397 0.5000
Ni1 0.6667 0.3333 0.0000
Ni2 0.0000 0.0000 0.5000
Ni3 0.3333 0.6667 0.0000

The following is a PBE calculation of a relaxed structure of FeNi3, from Alexandria.

## Properties
Formation energy from the elements (meV/atom): -37.2
Space-group type: Cmmm, No. 65
Calculated total energy (Ry per atom): -0.4769

Cell lengths 4.3446, 4.3446, 2.5007 Å; angles 90.00, 90.00, 109.66 degrees
Atoms (fractional coordinates):
Fe1 0.0000 0.0000 0.0000
Ni1 0.5000 0.0000 0.5000
Ni2 0.5000 0.5000 0.0000
Ni3 0.0000 0.5000 0.5000

The following is a PBE calculation of a relaxed structure of Fe5Ni2, from Alexandria.

## Properties
Formation energy from the elements (meV/atom): 12.8
Space-group type: I4/mmm, No. 139
Calculated total energy (Ry per atom): -0.5647

Cell lengths 2.8608, 2.8608, 10.0484 Å; angles 98.18, 98.18, 90.00 degrees
Atoms (fractional coordinates):
Ni1 0.2872 0.2872 0.5744
Ni2 0.7128 0.7128 0.4256
Fe1 0.4280 0.4280 0.8560
Fe2 0.5720 0.5720 0.1440
Fe3 0.8546 0.8546 0.7092
Fe4 0.1454 0.1454 0.2908
Fe5 0.0000 0.0000 0.0000

The following is a PBE calculation of a relaxed structure of Fe3Ni, from Alexandria.

## Properties
Formation energy from the elements (meV/atom): 44.2
Space-group type: Fmmm, No. 69
Calculated total energy (Ry per atom): -0.5695

Cell lengths 4.4855, 4.4855, 4.4853 Å; angles 133.65, 133.66, 67.54 degrees
Atoms (fractional coordinates):
Fe1 0.7500 0.7500 0.0000
Fe2 0.0000 0.5000 0.5000
Fe3 0.2500 0.2500 0.0000
Ni1 0.5000 0.0000 0.5000

The following is a PBE calculation of a relaxed structure of Fe3Ni13, from Alexandria.

## Properties
Formation energy from the elements (meV/atom): -59.6
Space-group type: P-6m2, No. 187
Calculated total energy (Ry per atom): -0.4662

Cell lengths 5.0047, 5.0047, 8.1503 Å; angles 90.00, 90.00, 120.00 degrees
Atoms (fractional coordinates):
Ni1 0.0001 0.5001 0.2494
Ni2 0.3368 0.1685 0.0000
Ni3 0.6626 0.8312 0.5000
Ni4 0.8315 0.6632 0.0000
Ni5 0.4999 0.9999 0.7506
Ni6 0.6668 0.3332 0.5000
Ni7 0.4999 0.5001 0.7506
Ni8 0.1688 0.3374 0.5000
Ni9 0.0001 0.5001 0.7506
Ni10 0.1688 0.8312 0.5000
Ni11 0.8315 0.1685 0.0000
Ni12 0.4999 0.9999 0.2494
Ni13 0.4999 0.5001 0.2494
Fe1 0.3333 0.6667 0.0000
Fe2 0.0000 0.0000 0.7505
Fe3 0.0000 0.0000 0.2495

The following is a PBE calculation of a relaxed structure of Fe4Ni, from Alexandria.

## Properties
Formation energy from the elements (meV/atom): 1114.7
Space-group type: Pm-3m, No. 221
Calculated total energy (Ry per atom): -0.5007

Cell lengths 4.2782, 4.2782, 4.2782 Å; angles 90.00, 90.00, 90.00 degrees
Atoms (fractional coordinates):
Fe1 0.5000 0.5000 0.0000
Fe2 0.5000 0.0000 0.5000
Fe3 0.0000 0.0000 0.0000
Fe4 0.0000 0.5000 0.5000
Ni1 0.5000 0.5000 0.5000

The following is a PBE calculation of a relaxed structure of Fe4Ni5, from Alexandria.

## Properties
Formation energy from the elements (meV/atom): -38.2
Space-group type: I4/mmm, No. 139
Calculated total energy (Ry per atom): -0.5153

Cell lengths 3.4554, 5.6913, 5.6913 Å; angles 95.29, 107.67, 72.33 degrees
Atoms (fractional coordinates):
Fe1 0.0000 0.6716 0.6716
Fe2 0.6716 0.3284 0.6716
Fe3 0.3284 0.6716 0.3284
Fe4 0.0000 0.3284 0.3284
Ni1 0.0000 0.0000 0.0000
Ni2 0.3345 0.0000 0.6689
Ni3 0.6655 0.0000 0.3311
Ni4 0.3345 0.3311 0.0000
Ni5 0.6655 0.6689 0.0000

The following is a PBE calculation of a relaxed structure of Fe2Ni, from Alexandria.

## Properties
Formation energy from the elements (meV/atom): 20.1
Space-group type: Immm, No. 71
Calculated total energy (Ry per atom): -0.5548

Cell lengths 4.5227, 4.5227, 4.5227 Å; angles 147.17, 135.78, 56.15 degrees
Atoms (fractional coordinates):
Ni1 0.3333 0.3333 0.0000
Fe1 0.6682 0.6682 0.0000
Fe2 0.9985 0.9985 0.0000

The following is a PBE calculation of a relaxed structure of Fe2Ni3, from Alexandria.

## Properties
Formation energy from the elements (meV/atom): -11.4
Space-group type: R-3m, No. 166
Calculated total energy (Ry per atom): -0.5046

Cell lengths 10.3761, 2.5161, 2.5161 Å; angles 60.00, 96.96, 96.96 degrees
Atoms (fractional coordinates):
Ni1 0.3995 0.7998 0.7998
Ni2 0.6005 0.2002 0.2002
Ni3 0.0000 0.0000 0.0000
Fe1 0.7987 0.5996 0.5996
Fe2 0.2013 0.4004 0.4004

The following is a PBE calculation of a relaxed structure of FeNi3, from Alexandria.

## Properties
Formation energy from the elements (meV/atom): -90.8
Space-group type: Pm-3m, No. 221
Calculated total energy (Ry per atom): -0.4809

Cell lengths 3.5445, 3.5445, 3.5429 Å; angles 90.00, 90.00, 90.00 degrees
Atoms (fractional coordinates):
Ni1 0.5000 0.0000 0.5000
Ni2 0.0000 0.5000 0.5000
Ni3 0.0000 0.0000 0.0000
Fe1 0.5000 0.5000 0.0000